1.
GaIr2Os: optimized geometry, PBE-GGA.

Computed properties:
ΔE_f: 0.2699 eV per atom
space-group type: R3m, No. 160
energy above the lowest structure with this stoichiometry: 383 meV/atom
total moment: 0.000 μB per atom

Cell lengths 4.8477, 4.8477, 4.8477 Å; angles 50.95, 50.95, 50.95 degrees
With the nearest neighbours (Å) after each atom.
Fractional coordinates of all 4 atoms:
1 Ga 0.0000 0.0000 0.0000  6 Ir 2.47-2.64, 1 Os 2.55
2 Ir 0.4191 0.4191 0.4191  1 Ir 2.59, 3 Ga 2.64, 4 Os 2.74-2.82
3 Ir 0.6241 0.6241 0.6241  3 Ga 2.47, 1 Ir 2.59, 3 Os 2.65
4 Os 0.2023 0.2023 0.2023  1 Ga 2.55, 7 Ir 2.65-2.82

***

2.
SmTmPb2: optimized geometry, PBE-GGA.

Computed properties:
ΔE_f: -0.3244 eV per atom
space-group type: R3m, No. 160
total moment: 0.000 μB per atom

Cell lengths 7.2369, 7.2369, 7.2369 Å; angles 38.50, 38.50, 38.50 degrees
With the nearest neighbours (Å) after each atom.
Fractional coordinates of all 4 atoms:
1 Sm 0.0000 0.0000 0.0000  6 Pb 3.22-3.30, 1 Tm 3.56
2 Tm 0.8224 0.8224 0.8224  6 Pb 3.12-3.26
3 Pb 0.4160 0.4160 0.4160  3 Tm 3.12, 1 Pb 3.22, 3 Sm 3.22
4 Pb 0.5761 0.5761 0.5761  1 Pb 3.22, 3 Tm 3.26, 3 Sm 3.30

***

3.
SrLa3Bi: optimized geometry, PBE-GGA.

Computed properties:
ΔE_f: -0.0152 eV per atom
space-group type: Pm-3m, No. 221
energy above the lowest structure with this stoichiometry: 0 meV/atom
total moment: 0.001 μB per atom

Cell lengths 6.2536, 6.2536, 6.2536 Å; angles 90.00, 90.00, 90.00 degrees
With the nearest neighbours (Å) after each atom.
Fractional coordinates of all 5 atoms:
1 Sr 0.0000 0.0000 0.0000  12 La 4.42
2 La 0.0000 0.5000 0.5000  2 Bi 3.13
3 La 0.5000 0.0000 0.5000  2 Bi 3.13
4 La 0.5000 0.5000 0.0000  2 Bi 3.13
5 Bi 0.5000 0.5000 0.5000  6 La 3.13

***

4.
Sm12YSc7: optimized geometry, PBE-GGA.

Computed properties:
ΔE_f: 0.1614 eV per atom
space-group type: R-3, No. 148
total moment: 0.000 μB per atom

Cell lengths 9.1380, 9.1380, 9.1380 Å; angles 108.23, 108.23, 108.23 degrees
With the nearest neighbours (Å) after each atom.
Fractional coordinates of all 20 atoms:
1 Sm 0.0606 0.2964 0.4085  4 Sc 3.23-3.58, 3 Sm 3.29-3.60, 1 Y 3.61
2 Sm 0.2050 0.6746 0.3752  4 Sc 3.22-3.61, 3 Sm 3.29-3.60
3 Sm 0.2964 0.4085 0.0606  4 Sc 3.23-3.58, 3 Sm 3.29-3.60, 1 Y 3.61
4 Sm 0.3254 0.6248 0.7950  4 Sc 3.22-3.61, 3 Sm 3.29-3.60
5 Sm 0.3752 0.2050 0.6746  4 Sc 3.22-3.61, 3 Sm 3.29-3.60
6 Sm 0.4085 0.0606 0.2964  4 Sc 3.23-3.58, 3 Sm 3.29-3.60, 1 Y 3.61
7 Sm 0.5915 0.9394 0.7036  4 Sc 3.23-3.58, 3 Sm 3.29-3.60, 1 Y 3.61
8 Sm 0.6248 0.7950 0.3254  4 Sc 3.22-3.61, 3 Sm 3.29-3.60
9 Sm 0.6746 0.3752 0.2050  4 Sc 3.22-3.61, 3 Sm 3.29-3.60
10 Sm 0.7036 0.5915 0.9394  4 Sc 3.23-3.58, 3 Sm 3.29-3.60, 1 Y 3.61
11 Sm 0.7950 0.3254 0.6248  4 Sc 3.22-3.61, 3 Sm 3.29-3.60
12 Sm 0.9394 0.7036 0.5915  4 Sc 3.23-3.58, 3 Sm 3.29-3.60, 1 Y 3.61
13 Y 0.0000 0.0000 0.0000  6 Sc 3.30, 6 Sm 3.61
14 Sc 0.9996 0.1025 0.6842  6 Sm 3.22-3.58, 1 Y 3.30, 3 Sc 3.30-3.51
15 Sc 0.0004 0.8975 0.3158  6 Sm 3.22-3.58, 1 Y 3.30, 3 Sc 3.30-3.51
16 Sc 0.1025 0.6842 0.9996  6 Sm 3.22-3.58, 1 Y 3.30, 3 Sc 3.30-3.51
17 Sc 0.3158 0.0004 0.8975  6 Sm 3.22-3.58, 1 Y 3.30, 3 Sc 3.30-3.51
18 Sc 0.5000 0.5000 0.5000  12 Sm 3.54-3.61
19 Sc 0.6842 0.9996 0.1025  6 Sm 3.22-3.58, 1 Y 3.30, 3 Sc 3.30-3.51
20 Sc 0.8975 0.3158 0.0004  6 Sm 3.22-3.58, 1 Y 3.30, 3 Sc 3.30-3.51

***

5.
MgRe2Os: optimized geometry, PBE-GGA.

Computed properties:
ΔE_f: 0.4722 eV per atom
space-group type: P4/mmm, No. 123
total moment: 0.000 μB per atom

Cell lengths 3.8218, 3.8218, 4.1458 Å; angles 90.00, 90.00, 90.00 degrees
With the nearest neighbours (Å) after each atom.
Fractional coordinates of all 4 atoms:
1 Mg 0.0000 0.0000 0.0000  4 Os 2.70, 8 Re 2.82
2 Re 0.0000 0.5000 0.5000  4 Re 2.70, 4 Os 2.82, 4 Mg 2.82
3 Re 0.5000 0.0000 0.5000  4 Re 2.70, 4 Os 2.82, 4 Mg 2.82
4 Os 0.5000 0.5000 0.0000  4 Mg 2.70, 8 Re 2.82

***

6.
CePu3Al8: optimized geometry, PBE-GGA.

Computed properties:
ΔE_f: -0.3829 eV per atom
space-group type: P3m1, No. 156
energy above the lowest structure with this stoichiometry: 6 meV/atom
total moment: 0.536 μB per atom

Cell lengths 5.6322, 5.6322, 8.6365 Å; angles 90.00, 90.00, 120.00 degrees
With the nearest neighbours (Å) after each atom.
Fractional coordinates of all 12 atoms:
1 Ce 0.0000 0.0000 0.0000  1 Pu 2.86, 6 Al 3.17
2 Pu 0.0000 0.0000 0.3308  1 Ce 2.86, 6 Al 3.15
3 Pu 0.6667 0.3333 0.5058  1 Pu 2.74
4 Pu 0.6667 0.3333 0.8234  1 Pu 2.74
5 Al 0.1596 0.3192 0.6621  6 Al 2.70-2.94
6 Al 0.1596 0.8404 0.6621  6 Al 2.70-2.94
7 Al 0.3333 0.6667 0.4151  6 Al 2.72-2.73
8 Al 0.3333 0.6667 0.9127  6 Al 2.75-2.78
9 Al 0.5073 0.0147 0.1677  6 Al 2.69-2.94
10 Al 0.5073 0.4927 0.1677  6 Al 2.69-2.94
11 Al 0.6808 0.8404 0.6621  6 Al 2.70-2.94
12 Al 0.9853 0.4927 0.1677  6 Al 2.69-2.94

***

7.
Li2Zn4Au: optimized geometry, PBE-GGA.

Computed properties:
ΔE_f: -0.2255 eV per atom
space-group type: P2_1/m, No. 11
energy above the lowest structure with this stoichiometry: 0 meV/atom
total moment: 0.000 μB per atom

Cell lengths 6.7471, 4.8865, 7.3154 Å; angles 90.00, 115.62, 90.00 degrees
With the nearest neighbours (Å) after each atom.
Fractional coordinates of all 14 atoms:
1 Li 0.0354 0.2500 0.4268  3 Zn 2.60-2.87, 3 Au 2.66-2.84, 3 Li 2.79-2.80
2 Li 0.1961 0.7500 0.9969  3 Au 2.64-2.83, 8 Zn 2.70-2.84, 1 Li 2.80
3 Li 0.8039 0.2500 0.0031  3 Au 2.64-2.83, 8 Zn 2.70-2.84, 1 Li 2.80
4 Li 0.9646 0.7500 0.5732  3 Zn 2.60-2.87, 3 Au 2.66-2.84, 3 Li 2.79-2.80
5 Zn 0.2468 0.2500 0.2027  4 Li 2.60-2.81, 5 Zn 2.69-2.86, 1 Au 2.72
6 Zn 0.3888 0.0004 0.7773  3 Zn 2.44-2.69, 1 Au 2.72
7 Zn 0.3888 0.4996 0.7773  3 Zn 2.44-2.69, 1 Au 2.72
8 Zn 0.3950 0.7500 0.4236  1 Au 2.64, 9 Zn 2.76-2.88, 1 Li 2.81
9 Zn 0.6050 0.2500 0.5764  1 Au 2.64, 9 Zn 2.76-2.88, 1 Li 2.81
10 Zn 0.6112 0.9996 0.2227  3 Zn 2.44-2.69, 1 Au 2.72
11 Zn 0.6112 0.5004 0.2227  3 Zn 2.44-2.69, 1 Au 2.72
12 Zn 0.7532 0.7500 0.7973  4 Li 2.60-2.81, 5 Zn 2.69-2.86, 1 Au 2.72
13 Au 0.0357 0.2500 0.7909  6 Li 2.64-2.84, 4 Zn 2.64-2.72
14 Au 0.9643 0.7500 0.2091  6 Li 2.64-2.84, 4 Zn 2.64-2.72

***

8.
SrGe3H: optimized geometry, PBE-GGA.

Computed properties:
space-group type: Pm-3m, No. 221
energy above the lowest structure with this stoichiometry: 0 meV/atom
total moment: 0.000 μB per atom

Cell lengths 4.5359, 4.5359, 4.5359 Å; angles 90.00, 90.00, 90.00 degrees
With the nearest neighbours (Å) after each atom.
Fractional coordinates of all 5 atoms:
1 Sr 0.0000 0.0000 0.0000  12 Ge 3.21
2 Ge 0.0000 0.5000 0.5000  2 H 2.27
3 Ge 0.5000 0.0000 0.5000  2 H 2.27
4 Ge 0.5000 0.5000 0.0000  2 H 2.27
5 H 0.5000 0.5000 0.5000  6 Ge 2.27

***

9.
PPbO3: optimized geometry, PBE-GGA.

Computed properties:
formation energy from raw total energies: -1.02 eV per atom
space-group type: Pm-3m, No. 221
total moment: 0.000 μB per atom

Cell lengths 3.8221, 3.8221, 3.8221 Å; angles 90.00, 90.00, 90.00 degrees
With the nearest neighbours (Å) after each atom.
Fractional coordinates of all 5 atoms:
1 P 0.0000 0.0000 0.0000  6 O 1.91
2 Pb 0.5000 0.5000 0.5000  12 O 2.70
3 O 0.0000 0.0000 0.5000  2 P 1.91
4 O 0.0000 0.5000 0.0000  2 P 1.91
5 O 0.5000 0.0000 0.0000  2 P 1.91

***

10.
PuTc3As3: optimized geometry, PBE-GGA.

Computed properties:
ΔE_f: 0.2487 eV per atom
space-group type: Pm-3n, No. 223
total moment: 0.780 μB per atom

Cell lengths 6.7500, 6.7500, 6.7500 Å; angles 90.00, 90.00, 90.00 degrees
With the nearest neighbours (Å) after each atom.
Fractional coordinates of all 14 atoms:
1 Pu 0.0000 0.0000 0.0000  12 As 3.77, 12 Tc 3.77
2 Pu 0.5000 0.5000 0.5000  12 As 3.77, 12 Tc 3.77
3 Tc 0.0000 0.2500 0.5000  4 As 2.39
4 Tc 0.0000 0.7500 0.5000  4 As 2.39
5 Tc 0.2500 0.5000 0.0000  4 As 2.39
6 Tc 0.5000 0.0000 0.2500  4 As 2.39
7 Tc 0.5000 0.0000 0.7500  4 As 2.39
8 Tc 0.7500 0.5000 0.0000  4 As 2.39
9 As 0.0000 0.5000 0.2500  4 Tc 2.39
10 As 0.0000 0.5000 0.7500  4 Tc 2.39
11 As 0.2500 0.0000 0.5000  4 Tc 2.39
12 As 0.5000 0.2500 0.0000  4 Tc 2.39
13 As 0.5000 0.7500 0.0000  4 Tc 2.39
14 As 0.7500 0.0000 0.5000  4 Tc 2.39

***

11.
HfVGa3: optimized geometry, PBE-GGA.

Computed properties:
ΔE_f: -0.0995 eV per atom
space-group type: Pmmn, No. 59
energy above the lowest structure with this stoichiometry: 0 meV/atom
total moment: 0.000 μB per atom

Cell lengths 3.9495, 6.2735, 6.9061 Å; angles 90.00, 90.00, 90.00 degrees
With the nearest neighbours (Å) after each atom.
Fractional coordinates of all 10 atoms:
1 Hf 0.2500 0.2500 0.2160  6 Ga 2.77-2.84, 2 V 2.93
2 Hf 0.7500 0.7500 0.7840  6 Ga 2.77-2.84, 2 V 2.93
3 V 0.2500 0.7500 0.4698  7 Ga 2.53-2.70
4 V 0.7500 0.2500 0.5302  7 Ga 2.53-2.70
5 Ga 0.2500 0.0506 0.7150  3 Ga 2.50-2.74, 3 V 2.53-2.66, 2 Hf 2.77
6 Ga 0.2500 0.4494 0.7150  3 Ga 2.50-2.74, 3 V 2.53-2.66, 2 Hf 2.77
7 Ga 0.2500 0.7500 0.0791  1 V 2.70, 4 Ga 2.74, 2 Hf 2.84
8 Ga 0.7500 0.2500 0.9209  1 V 2.70, 4 Ga 2.74, 2 Hf 2.84
9 Ga 0.7500 0.5506 0.2850  3 Ga 2.50-2.74, 3 V 2.53-2.66, 2 Hf 2.77
10 Ga 0.7500 0.9494 0.2850  3 Ga 2.50-2.74, 3 V 2.53-2.66, 2 Hf 2.77

***

12.
Os2CO: optimized geometry, PBE-GGA.

Computed properties:
formation energy from raw total energies: 0.63 eV per atom
space-group type: I-42d, No. 122
energy above the lowest structure with this stoichiometry: 0 meV/atom
total moment: 0.000 μB per atom

Cell lengths 5.5385, 5.5385, 5.5385 Å; angles 128.75, 128.75, 75.42 degrees
With the nearest neighbours (Å) after each atom.
Fractional coordinates of all 8 atoms:
1 Os 0.1056 0.6250 0.9806  2 C 1.96, 2 O 2.07
2 Os 0.3750 0.3556 0.4806  2 C 1.96, 2 O 2.07
3 Os 0.6444 0.1250 0.0194  2 C 1.96, 2 O 2.07
4 Os 0.8750 0.8944 0.5194  2 C 1.96, 2 O 2.07
5 C 0.0000 0.0000 0.0000  4 Os 1.96
6 C 0.7500 0.2500 0.5000  4 Os 1.96
7 O 0.2500 0.7500 0.5000  4 Os 2.07
8 O 0.5000 0.5000 0.0000  4 Os 2.07